(1)
{
  "formula": "Ba4MgHg2",
  "functional": "PBE-GGA",
  "state": "optimized geometry",
  "density_g_cm3": 5.32,
  "sg": "I4/mmm (139)",
  "ef_kj_per_mol_fu": -178,
  "cell": [[6.913, -0.052, -2.464], [-3.461, 6.006, -2.410], [-0.030, 0.052, 7.339]],
  "species": ["Mg", "Hg", "Hg", "Ba", "Ba", "Ba", "Ba"],
  "fractional_positions": [[0.000, 0.000, 0.000], [0.500, 0.000, 0.500], [0.500, 0.500, 0.000], [0.000, 0.500, 0.000], [0.500, 0.500, 0.500], [0.000, 0.000, 0.500], [0.500, 0.000, 0.000]]
}

***

(2)
{
  "formula": "BaMg2Hg",
  "functional": "PBE-GGA",
  "state": "optimized geometry",
  "density_g_cm3": 5.03,
  "sg": "Pm (6)",
  "ef_kj_per_mol_fu": -68,
  "cell": [[-4.154, 1.849, -1.416], [-1.375, -0.293, 3.651], [1.642, 6.148, 3.211]],
  "species": ["Mg", "Mg", "Hg", "Ba"],
  "fractional_positions": [[0.000, 0.806, 0.018], [0.500, 0.237, 0.152], [0.500, 0.915, 0.791], [0.000, 0.542, 0.539]]
}

***

(3)
{
  "formula": "Ba8Mg2Hg",
  "functional": "PBE-GGA",
  "state": "optimized geometry",
  "density_g_cm3": 4.11,
  "sg": "C2/m (12)",
  "de_polymorph_mev_per_atom": 0,
  "ef_kj_per_mol_fu": -92,
  "cell": [[-3.947, 4.634, 1.324], [-6.515, -5.377, -0.604], [5.398, -2.344, 9.638]],
  "species": ["Mg", "Mg", "Ba", "Ba", "Ba", "Ba", "Ba", "Ba", "Ba", "Ba", "Hg"],
  "fractional_positions": [[0.817, 0.288, 0.635], [0.183, 0.712, 0.365], [0.340, 0.037, 0.680], [0.026, 0.794, 0.053], [0.795, 0.697, 0.590], [0.407, 0.567, 0.813], [0.974, 0.206, 0.947], [0.593, 0.433, 0.187], [0.205, 0.303, 0.410], [0.660, 0.963, 0.320], [0.500, 0.000, 0.000]]
}

***

(4)
{
  "formula": "BaMg10Hg2",
  "functional": "PBE-GGA",
  "state": "optimized geometry",
  "density_g_cm3": 3.99,
  "sg": "Fmmm (69)",
  "ef_kj_per_mol_fu": -149,
  "cell": [[-3.752, -2.008, 4.361], [-7.203, -1.800, -2.770], [0.320, -7.849, 0.918]],
  "species": ["Mg", "Mg", "Mg", "Mg", "Mg", "Mg", "Mg", "Mg", "Mg", "Mg", "Ba", "Hg", "Hg"],
  "fractional_positions": [[0.500, 0.000, 0.500], [0.722, 0.773, 0.784], [0.995, 0.360, 0.651], [0.646, 0.360, 0.349], [0.278, 0.227, 0.216], [0.354, 0.640, 0.651], [0.000, 0.000, 0.500], [0.506, 0.773, 0.216], [0.005, 0.640, 0.349], [0.494, 0.227, 0.784], [0.000, 0.000, 0.000], [0.500, 0.500, 0.000], [0.000, 0.500, 0.000]]
}

***

(5)
{
  "formula": "Ba3MgHg3",
  "functional": "PBE-GGA",
  "state": "optimized geometry",
  "density_g_cm3": 6.61,
  "sg": "C2/m (12)",
  "ef_kj_per_mol_fu": -282,
  "cell": [[4.677, 0.000, 0.705], [2.304, 6.651, 0.582], [-0.130, 0.026, 16.741]],
  "species": ["Ba", "Ba", "Ba", "Ba", "Ba", "Ba", "Hg", "Hg", "Hg", "Hg", "Hg", "Hg", "Mg", "Mg"],
  "fractional_positions": [[0.512, 0.362, 0.615], [0.734, 0.767, 0.765], [0.488, 0.638, 0.385], [0.266, 0.233, 0.235], [0.603, 0.713, 0.081], [0.397, 0.287, 0.919], [0.889, 0.146, 0.077], [0.111, 0.854, 0.923], [0.139, 0.267, 0.455], [0.035, 0.172, 0.758], [0.861, 0.733, 0.545], [0.965, 0.828, 0.242], [0.235, 0.946, 0.585], [0.765, 0.054, 0.415]]
}

***

(6)
{
  "formula": "BaMgHg",
  "functional": "PBE-GGA",
  "state": "optimized geometry",
  "density_g_cm3": 5.25,
  "sg": "F-43m (216)",
  "ef_kj_per_mol_fu": -55,
  "cell": [[5.451, 0.000, 0.000], [2.725, 4.721, 0.000], [2.725, 1.574, 4.451]],
  "species": ["Mg", "Ba", "Hg"],
  "fractional_positions": [[0.000, 0.000, 0.000], [0.500, 0.500, 0.500], [0.750, 0.750, 0.750]]
}

***

(7)
{
  "formula": "BaMg6Hg2",
  "functional": "PBE-GGA",
  "state": "optimized geometry",
  "density_g_cm3": 4.79,
  "sg": "P4/mmm (123)",
  "ef_kj_per_mol_fu": -179,
  "cell": [[4.730, 0.000, 0.000], [0.000, 4.730, 0.000], [0.000, 0.000, 10.612]],
  "species": ["Hg", "Hg", "Mg", "Mg", "Mg", "Mg", "Mg", "Mg", "Ba"],
  "fractional_positions": [[0.500, 0.500, 0.855], [0.500, 0.500, 0.145], [0.000, 0.000, 0.500], [0.500, 0.000, 0.303], [0.000, 0.500, 0.697], [0.000, 0.500, 0.303], [0.500, 0.000, 0.697], [0.500, 0.500, 0.500], [0.000, 0.000, 0.000]]
}

***

(8)
{
  "formula": "BaMgHg2",
  "functional": "PBE-GGA",
  "state": "optimized geometry",
  "density_g_cm3": 8.10,
  "sg": "P4/mmm (123)",
  "ef_kj_per_mol_fu": -130,
  "cell": [[-2.300, -2.405, 1.902], [2.566, -0.212, 2.840], [-3.438, 6.102, 3.561]],
  "species": ["Mg", "Hg", "Hg", "Ba"],
  "fractional_positions": [[0.500, 0.500, 0.250], [0.000, 0.000, 0.048], [0.000, 0.000, 0.452], [0.500, 0.500, 0.750]]
}